This record from the Alexandria database describes a relaxed structure of Ac2WO8. The functional is PBE with a Hubbard U.

```
Ac2WO8
1.0
-3.219 -2.580 -0.513
2.986 -3.451 -1.384
1.253 0.135 8.305
O W Ac
8 1 2
direct
0.614 0.006 0.227 O
0.538 0.441 0.077 O
0.758 0.742 0.516 O
0.242 0.258 0.484 O
0.462 0.559 0.923 O
0.003 0.159 0.006 O
0.997 0.841 0.994 O
0.386 0.994 0.773 O
0.500 0.000 0.000 W
0.177 0.707 0.354 Ac
0.823 0.293 0.646 Ac
```

Properties
Size of the total moment (μB per cell): 0.00
Crystal system: monoclinic
VASP energy (eV/atom): -7.05